DyHo2Co2B2O3: optimized geometry, PBE with a Hubbard U.

Cell: 10.8935 10.8935 10.8935 Å, 162.05 162.05 25.49°
Positions (direct):
Dy: 0.0000 0.0000 0.0000
Ho: 0.3620 0.3620 0.0000
Ho: 0.6380 0.6380 0.0000
Co: 0.2500 0.7500 0.5000
Co: 0.7500 0.2500 0.5000
B: 0.2090 0.2090 0.0000
B: 0.7910 0.7910 0.0000
O: 0.1036 0.1036 0.0000
O: 0.5000 0.5000 0.0000
O: 0.8964 0.8964 0.0000

## Properties
size of the total moment	0.014	μB per formula unit
electronic total energy	-68.71	eV/cell
symmetry	I4/mmm (139)